A plane-wave DFT calculation with PBE was carried out for an optimized crystal structure of Tb2DyGe3Pt4.

abc: 4.209 4.209 11.401
angles: 90.00 90.00 90.00
Space group P-4m2 (No. 115)
Asymmetric unit:
1 Tb 0.000 0.500 0.220 x2
2 Dy 0.000 0.000 0.500 x1
3 Ge 0.000 0.500 0.873 x2
4 Ge 0.500 0.500 0.500 x1
5 Pt 0.000 0.000 0.000 x1
6 Pt 0.000 0.500 0.659 x2
7 Pt 0.500 0.500 0.000 x1

Computed properties:
**Size of the total moment**: 0.000 μB/cell
**DOS at the Fermi energy**: 7.82 states/eV/cell



A plane-wave DFT calculation with PBE was carried out for an optimized crystal structure of CaSmGa4.

abc: 7.915 7.915 7.915
angles: 90.00 90.00 90.00
Space group F-43m (No. 216)
Asymmetric unit:
1 Ca 0.000 0.000 0.000 x4
2 Sm 0.250 0.250 0.750 x4
3 Ga 0.125 0.125 0.375 x16

Computed properties:
**Size of the total moment**: 0.000 μB/cell
**DOS at the Fermi energy**: 14.75 states/eV/cell
**Energy relative to the lowest polymorph listed for this composition**: 77 meV per atom



| no. | formation enthalpy at 0 K (kJ/mol of atoms) |
| --- | --- |
| 1 | -91 |
| 2 | -47 |